Entry 1:
This record from Alexandria via LeMat-Bulk describes HoTh2Ru after structural relaxation. The functional is PBE-GGA.

Results
Energy above the most stable polymorph in this dataset   0.0 kJ per mole of atoms
Formation energy   -0.303 eV per atom
Density   10.9 g/cm3

```
HoTh2Ru
1.0
7.205 0.000 0.000
0.000 9.873 0.000
0.000 0.000 6.259
Ho Th Ru
4 8 4
direct
0.041 0.250 0.149
0.459 0.750 0.649
0.541 0.250 0.351
0.959 0.750 0.851
0.171 0.062 0.664
0.171 0.438 0.664
0.329 0.562 0.164
0.329 0.938 0.164
0.671 0.062 0.836
0.671 0.438 0.836
0.829 0.562 0.336
0.829 0.938 0.336
0.115 0.750 0.389
0.385 0.250 0.889
0.615 0.750 0.111
0.885 0.250 0.611
```

Entry 2:
This record from Alexandria via LeMat-Bulk describes HoThRu4 after structural relaxation. The functional is PBE-GGA.

Results
Formation energy   -0.307 eV per atom
Density   12.1 g/cm3

```
HoThRu4
1.0
0.000 3.807 3.807
3.807 0.000 3.807
3.807 3.807 0.000
Ho Th Ru
1 1 4
direct
0.000 0.000 0.000
0.750 0.750 0.750
0.375 0.375 0.375
0.375 0.375 0.876
0.375 0.876 0.375
0.876 0.375 0.375
```

Entry 3:
This record from Alexandria via LeMat-Bulk describes HoTh2Ru after structural relaxation. The functional is PBE-GGA.

Results
Energy above the most stable polymorph in this dataset   0.8 kJ per mole of atoms
Formation energy   -0.294 eV per atom
Density   10.9 g/cm3

```
HoTh2Ru
1.0
1.922 -5.856 0.000
1.922 5.856 0.000
0.000 0.000 9.862
Ho Th Ru
2 4 2
direct
0.082 0.918 0.750
0.918 0.082 0.250
0.361 0.639 0.564
0.361 0.639 0.936
0.639 0.361 0.064
0.639 0.361 0.436
0.206 0.794 0.250
0.794 0.206 0.750
```

Entry 4:
This record from Alexandria via LeMat-Bulk describes Ho5ThRu4 after structural relaxation. The functional is PBE-GGA.

Results
Formation energy   -0.355 eV per atom
Density   10.3 g/cm3

```
Ho5ThRu4
1.0
7.257 -2.415 0.000
7.257 2.415 0.000
-0.247 0.000 6.721
Ho Th Ru
5 1 4
direct
0.000 0.000 0.000
0.329 0.329 0.502
0.334 0.334 0.002
0.666 0.666 0.998
0.671 0.671 0.498
0.000 0.000 0.500
0.159 0.159 0.744
0.500 0.500 0.259
0.500 0.500 0.741
0.841 0.841 0.256
```

Entry 5:
This record from Alexandria via LeMat-Bulk describes HoThRu2 after structural relaxation. The functional is PBE-GGA.

Results
Formation energy   -0.436 eV per atom
Density   11.9 g/cm3

```
HoThRu2
1.0
4.930 -3.468 0.000
4.930 3.468 0.000
-0.010 0.000 4.905
Ho Th Ru
2 2 4
direct
0.117 0.117 0.250
0.883 0.883 0.750
0.368 0.368 0.750
0.632 0.632 0.250
0.133 0.617 0.250
0.383 0.867 0.750
0.617 0.133 0.250
0.867 0.383 0.750
```

Entry 6:
This record from Alexandria via LeMat-Bulk describes HoTh2Ru after structural relaxation. The functional is PBE-GGA.

Results
Energy above the most stable polymorph in this dataset   19.9 kJ per mole of atoms
Formation energy   -0.097 eV per atom
Density   11.2 g/cm3

```
HoTh2Ru
1.0
3.633 0.000 0.000
0.000 3.633 0.000
0.000 0.000 8.224
Ho Th Ru
1 2 1
direct
0.000 0.000 0.000
0.500 0.500 0.299
0.500 0.500 0.701
0.000 0.000 0.500
```

Entry 7:
This record from Alexandria via LeMat-Bulk describes Ho2Th2Ru3 after structural relaxation. The functional is PBE-GGA.

Results
Energy above the most stable polymorph in this dataset   1.8 kJ per mole of atoms
Formation energy   -0.391 eV per atom
Density   10.7 g/cm3

```
Ho2Th2Ru3
1.0
6.697 -2.333 0.000
6.697 2.333 0.000
-0.548 0.000 5.459
Ho Th Ru
2 2 3
direct
0.097 0.097 0.333
0.903 0.903 0.667
0.345 0.345 0.147
0.655 0.655 0.853
0.277 0.277 0.688
0.500 0.500 0.500
0.723 0.723 0.312
```

Entry 8:
This record from Alexandria via LeMat-Bulk describes Ho3ThRu8 after structural relaxation. The functional is PBE-GGA.

Results
Formation energy   -0.314 eV per atom
Density   11.7 g/cm3

```
Ho3ThRu8
1.0
2.669 1.541 8.796
-2.669 1.541 8.796
0.000 -3.082 8.796
Ho Th Ru
3 1 8
direct
0.000 0.000 0.000
0.123 0.123 0.123
0.497 0.497 0.497
0.623 0.623 0.623
0.060 0.060 0.558
0.060 0.558 0.060
0.065 0.561 0.561
0.311 0.311 0.311
0.558 0.060 0.060
0.561 0.065 0.561
0.561 0.561 0.065
0.811 0.811 0.811
```

Entry 9:
This record from Alexandria via LeMat-Bulk describes Ho2Th2Ru3 after structural relaxation. The functional is PBE-GGA.

Results
Energy above the most stable polymorph in this dataset   0.0 kJ per mole of atoms
Formation energy   -0.410 eV per atom
Density   11.1 g/cm3

```
Ho2Th2Ru3
1.0
4.163 -2.410 0.000
4.163 2.410 0.000
-2.787 0.000 8.179
Ho Th Ru
2 2 3
direct
0.129 0.129 0.387
0.871 0.871 0.613
0.381 0.381 0.143
0.619 0.619 0.857
0.000 0.000 0.000
0.254 0.254 0.760
0.746 0.746 0.240
```

Entry 10:
This record from Alexandria via LeMat-Bulk describes Ho4ThRu2 after structural relaxation. The functional is PBE-GGA.

Results
Formation energy   -0.261 eV per atom
Density   10.1 g/cm3

```
Ho4ThRu2
1.0
7.793 0.000 0.000
0.000 6.338 0.000
-3.048 0.000 7.276
Ho Th Ru
8 2 4
direct
0.108 0.250 0.481
0.165 0.750 0.249
0.261 0.502 0.914
0.261 0.998 0.914
0.739 0.002 0.086
0.739 0.498 0.086
0.835 0.250 0.751
0.892 0.750 0.519
0.465 0.250 0.341
0.535 0.750 0.659
0.093 0.250 0.130
0.480 0.250 0.733
0.520 0.750 0.267
0.907 0.750 0.870
```

Entry 11:
This record from Alexandria via LeMat-Bulk describes HoThRu2 after structural relaxation. The functional is PBE-GGA.

Results
Formation energy   -0.435 eV per atom
Density   11.9 g/cm3

```
HoThRu2
1.0
4.906 0.000 0.000
0.000 4.906 0.000
0.000 0.000 3.483
Ho Th Ru
1 1 2
direct
0.000 0.000 0.000
0.500 0.500 0.000
0.000 0.500 0.500
0.500 0.000 0.500
```

Entry 12:
This record from Alexandria via LeMat-Bulk describes HoTh2Ru3 after structural relaxation. The functional is PBE-GGA.

Results
Formation energy   -0.276 eV per atom
Density   11.8 g/cm3

```
HoTh2Ru3
1.0
6.027 -2.806 0.000
6.027 2.806 0.000
-2.982 0.000 7.735
Ho Th Ru
2 4 6
direct
0.159 0.841 0.750
0.841 0.159 0.250
0.305 0.335 0.913
0.335 0.305 0.413
0.665 0.695 0.587
0.695 0.665 0.087
0.123 0.152 0.574
0.152 0.123 0.074
0.337 0.663 0.250
0.663 0.337 0.750
0.848 0.877 0.926
0.877 0.848 0.426
```

Which of these has the highest formation energy?
number 6

Which formula does entry 7 have?
Ho2Th2Ru3